Nd3Pt7N4 (PBE-GGA, relaxed); total energy = -6.5894 eV/atom; volume = 16.18 Å³ per atom; symmetry = C2/m (12)
1.0
7.939 -1.726 0.000
7.939 1.726 0.000
-2.825 0.000 8.262
Nd Pt N
3 7 4
Cartesian
0.000 0.000 0.000
3.998 0.000 2.755
9.055 0.000 5.508
-1.413 0.000 4.131
0.945 0.000 2.764
2.733 0.000 7.836
6.843 0.000 2.141
6.210 0.000 6.122
10.320 0.000 0.427
12.108 0.000 5.498
-0.492 0.000 6.783
2.842 0.000 5.739
10.211 0.000 2.523
13.545 0.000 1.479

GdYFe2 (PBE-GGA, relaxed); energy above the most stable polymorph in this dataset = 6.3 meV/atom; total energy = -6.9087 eV/atom; formation energy from the elements = 26 meV per atom; volume = 20.42 Å³ per atom; symmetry = Amm2 (38)
1.0
3.796 0.000 0.000
0.000 2.061 5.222
0.000 -2.061 5.222
Gd Y Fe
1 1 2
Cartesian
0.000 0.000 0.000
1.898 0.000 7.435
0.000 0.000 3.133
1.898 0.000 4.285

NaAgGeTeS2 (PBE-GGA, relaxed); total energy = -3.6000 eV/atom; volume = 24.18 Å³ per atom; symmetry = Cmcm (63)
1.0
1.750 -7.497 0.000
1.750 7.497 0.000
0.000 0.000 11.062
Na Ag Ge Te S
2 2 2 2 4
Cartesian
1.750 3.908 8.297
1.750 -3.908 2.766
1.750 6.024 2.766
1.750 -6.024 8.297
1.750 0.000 0.000
1.750 0.000 5.531
1.750 0.985 2.766
1.750 -0.985 8.297
1.750 5.745 0.384
1.750 5.745 5.147
1.750 -5.745 5.915
1.750 -5.745 10.678

NbGe2Mo (PBE-GGA, relaxed); total energy = -7.3596 eV/atom; volume = 16.76 Å³ per atom; symmetry = F-43m (216)
1.0
0.000 3.224 3.224
3.224 0.000 3.224
3.224 3.224 0.000
Nb Ge Mo
1 2 1
Cartesian
0.000 0.000 0.000
3.224 3.224 3.224
4.837 4.837 4.837
1.612 1.612 1.612

Zn2W (PBE-GGA, relaxed); energy above the most stable polymorph in this dataset = 135.9 meV/atom; total energy = -4.8846 eV/atom; formation energy from the elements = 279 meV per atom; volume = 14.86 Å³ per atom; symmetry = Cmcm (63)
1.0
4.801 -2.208 0.000
4.801 2.208 0.000
0.000 0.000 4.205
Zn W
4 2
Cartesian
1.685 0.770 1.051
1.685 -0.770 3.153
7.917 0.770 1.051
7.917 -0.770 3.153
4.801 0.772 1.051
4.801 -0.772 3.153

AcSiMo (PBE-GGA, relaxed); energy above the most stable polymorph in this dataset = 45.2 meV/atom; total energy = -6.2589 eV/atom; volume = 25.40 Å³ per atom; symmetry = F-43m (216)
1.0
0.000 3.365 3.365
3.365 0.000 3.365
3.365 3.365 0.000
Ac Si Mo
1 1 1
Cartesian
0.000 0.000 0.000
1.682 1.682 1.682
3.365 3.365 3.365

CuBiMoPd (PBE-GGA, relaxed); energy above the most stable polymorph in this dataset = 0.0 meV/atom; total energy = -5.5497 eV/atom; volume = 17.50 Å³ per atom; symmetry = F-43m (216)
1.0
0.000 3.271 3.271
3.271 0.000 3.271
3.271 3.271 0.000
Cu Bi Mo Pd
1 1 1 1
Cartesian
0.000 0.000 0.000
4.907 4.907 4.907
3.271 3.271 3.271
1.636 1.636 1.636

Lu4TlC2Se (PBE-GGA, relaxed); total energy = -6.1107 eV/atom; volume = 20.23 Å³ per atom; symmetry = P-6m2 (187)
1.0
3.601 0.000 0.000
-1.800 3.118 0.000
0.000 0.000 14.414
Lu Tl C Se
4 1 2 1
Cartesian
0.000 0.000 1.967
0.000 0.000 12.447
1.800 1.039 4.543
1.800 1.039 9.871
0.000 0.000 7.207
0.000 2.079 3.265
0.000 2.079 11.149
1.800 1.039 0.000

PaAgSb (PBE-GGA, relaxed); energy above the most stable polymorph in this dataset = 0.0 meV/atom; total energy = -5.4019 eV/atom; volume = 26.08 Å³ per atom; symmetry = F-43m (216)
1.0
0.000 3.394 3.394
3.394 0.000 3.394
3.394 3.394 0.000
Pa Ag Sb
1 1 1
Cartesian
0.000 0.000 0.000
1.697 1.697 1.697
3.394 3.394 3.394

RbErPtSe3 (PBE-GGA, relaxed); total energy = -4.7971 eV/atom; volume = 28.21 Å³ per atom; symmetry = Cmcm (63)
1.0
2.025 -8.270 0.000
2.025 8.270 0.000
0.000 0.000 10.111
Rb Er Pt Se
2 2 2 6
Cartesian
2.025 4.214 7.583
2.025 -4.214 2.528
0.000 0.000 0.000
0.000 0.000 5.056
2.025 0.148 2.528
2.025 -0.148 7.583
2.025 6.867 2.528
2.025 1.893 0.727
2.025 1.893 4.329
2.025 -1.893 5.782
2.025 -1.893 9.384
2.025 -6.867 7.583

HfZr2NiAs4Pd3 (PBE-GGA, relaxed); energy above the most stable polymorph in this dataset = 3.4 meV/atom; total energy = -6.8845 eV/atom; volume = 18.01 Å³ per atom; symmetry = Pm (6)
1.0
6.596 0.000 0.000
0.000 3.900 0.000
-0.181 0.000 7.701
Hf Zr Ni As Pd
1 2 1 4 3
Cartesian
0.000 0.000 0.000
3.232 0.000 0.992
3.645 1.950 3.854
1.169 1.950 1.966
1.605 1.950 7.261
1.746 0.000 3.316
5.202 1.950 1.459
5.244 0.000 5.322
2.482 0.000 5.769
4.309 1.950 6.730
5.831 0.000 2.903

Ho3Er3Sb2Os (PBE-GGA, relaxed); energy above the most stable polymorph in this dataset = 20.1 meV/atom; total energy = -5.8702 eV/atom; volume = 26.71 Å³ per atom; symmetry = P-62m (189)
1.0
8.139 0.000 0.000
-4.069 7.048 0.000
0.000 0.000 4.190
Ho Er Sb Os
3 3 2 1
Cartesian
-0.966 1.674 0.000
1.932 0.000 0.000
3.103 5.375 0.000
-2.470 4.278 2.095
1.600 2.771 2.095
4.939 0.000 2.095
0.000 4.699 0.000
4.069 2.349 0.000
0.000 0.000 2.095